(1)
Here is a relaxed structure of CoCuPbI2 from the Alexandria database. Energies are from PBE-GGA.

The size of the total moment comes out at 2.1 μB/cell. As for the total energy: -2.651 eV per atom. Its formation energy without anion corrections is 0.951 eV/atom.

It has space group P4/mmm (No. 123), with a = 6.326 Å, b = 6.326 Å, c = 5.044 Å, α = 90.00°, β = 90.00° and γ = 90.00°. The distinct sites, in fractional coordinates, are Co at (0.000, 0.000, 0.000), Cu at (0.500, 0.500, 0.000), Pb at (0.000, 0.000, 0.500) and I at (0.000, 0.500, 0.500).

(2)
Here is a relaxed structure of CoCu2PdI from the Alexandria database. Energies are from PBE-GGA.

The size of the total moment comes out at 2.0 μB/cell. As for the total energy: -3.597 eV per atom. Its formation energy without anion corrections is 0.811 eV/atom.

It has space group P4/mmm (No. 123), with a = 4.544 Å, b = 4.544 Å, c = 4.694 Å, α = 90.00°, β = 90.00° and γ = 90.00°. The distinct sites, in fractional coordinates, are Co at (0.000, 0.000, 0.000), Cu at (0.000, 0.500, 0.000), Pd at (0.000, 0.000, 0.500) and I at (0.500, 0.500, 0.500).

(3)
Here is a relaxed structure of Pm6Co2CuI3 from the Alexandria database. Energies are from PBE-GGA.

The size of the total moment comes out at 0.0 μB/cell. As for the total energy: -4.869 eV per atom. Its formation energy without anion corrections is -0.580 eV/atom.

It has space group C2/m (No. 12), with a = 7.114 Å, b = 12.321 Å, c = 8.378 Å, α = 90.00°, β = 106.42° and γ = 90.00°. The distinct sites, in fractional coordinates, are Pm at (0.209, 0.000, 0.183), Pm at (0.238, 0.324, 0.184), Co at (0.000, 0.167, 0.000), Cu at (0.000, 0.500, 0.000), I at (0.000, 0.000, 0.500) and I at (0.000, 0.335, 0.500).

(4)
Here is a relaxed structure of Pm4CoCuI2 from the Alexandria database. Energies are from PBE-GGA.

The size of the total moment comes out at 0.0 μB/cell. As for the total energy: -4.719 eV per atom. Its formation energy without anion corrections is -0.556 eV/atom.

It has space group P2/m (No. 10), with a = 7.162 Å, b = 4.137 Å, c = 8.363 Å, α = 90.00°, β = 106.47° and γ = 90.00°. The distinct sites, in fractional coordinates, are Pm at (0.219, 0.000, 0.184), Pm at (0.250, 0.500, 0.815), Co at (0.000, 0.500, 0.000), Cu at (0.500, 0.000, 0.000), I at (0.000, 0.000, 0.500) and I at (0.500, 0.500, 0.500).

(5)
Here is a relaxed structure of Pr6Co2CuI3 from the Alexandria database. Energies are from PBE-GGA.

The size of the total moment comes out at 0.0 μB/cell. As for the total energy: -4.873 eV per atom. Its formation energy without anion corrections is -0.570 eV/atom.

It has space group C2/m (No. 12), with a = 7.215 Å, b = 12.498 Å, c = 8.499 Å, α = 90.00°, β = 106.43° and γ = 90.00°. The distinct sites, in fractional coordinates, are Pr at (0.209, 0.000, 0.184), Pr at (0.238, 0.324, 0.185), Co at (0.000, 0.167, 0.000), Cu at (0.000, 0.500, 0.000), I at (0.000, 0.000, 0.500) and I at (0.000, 0.335, 0.500).

(6)
Here is a relaxed structure of CoCuSb2I from the Alexandria database. Energies are from PBE-GGA.

The size of the total moment comes out at 0.0 μB/cell. As for the total energy: -3.575 eV per atom. Its formation energy without anion corrections is 0.624 eV/atom. The excess energy over the best structure of this formula in the dataset comes out at 0.000 eV per atom.

It has space group P4/mmm (No. 123), with a = 4.827 Å, b = 4.827 Å, c = 5.582 Å, α = 90.00°, β = 90.00° and γ = 90.00°. The distinct sites, in fractional coordinates, are Co at (0.000, 0.000, 0.000), Cu at (0.500, 0.500, 0.500), Sb at (0.000, 0.500, 0.000) and I at (0.000, 0.000, 0.500).

(7)
Here is a relaxed structure of Sm8Co3CuI4 from the Alexandria database. Energies are from PBE-GGA.

The size of the total moment comes out at 0.0 μB/cell. As for the total energy: -4.909 eV per atom. Its formation energy without anion corrections is -0.573 eV/atom.

It has space group R-3m (No. 166, hexagonal axes), with a = 8.1414 Å, b = 8.1414 Å, c = 24.0015 Å, α = 90.00°, β = 90.00° and γ = 120.00°. The distinct sites, in fractional coordinates, are Sm at (0.0000, 0.0000, 0.2275), Sm at (0.0145, 0.5073, 0.7728), Co at (0.0000, 0.5000, 0.5000), Cu at (0.0000, 0.0000, 0.5000), I at (0.0000, 0.0000, 0.0000) and I at (0.0000, 0.5000, 0.0000).

(8)
Here is a relaxed structure of TlCoCu2I6 from the Alexandria database. Energies are from PBE-GGA.

The size of the total moment comes out at 13.5 μB/cell. As for the total energy: -2.861 eV per atom. Its formation energy without anion corrections is -0.164 eV/atom.

It has space group C2/c (No. 15), with a = 15.024 Å, b = 13.379 Å, c = 8.433 Å, α = 90.00°, β = 114.48° and γ = 90.00°. The distinct sites, in fractional coordinates, are Tl at (0.000, 0.178, 0.250), Co at (0.000, 0.179, 0.750), Cu at (0.190, 0.447, 0.183), I at (0.115, 0.069, 0.670), I at (0.119, 0.272, 0.016) and I at (0.147, 0.419, 0.446).

(9)
Here is a relaxed structure of Y2CoCuI from the Alexandria database. Energies are from PBE-GGA.

The size of the total moment comes out at 1.0 μB/cell. As for the total energy: -4.471 eV per atom. Its formation energy without anion corrections is 0.665 eV/atom.

It has space group P4/mmm (No. 123), with a = 5.633 Å, b = 5.633 Å, c = 4.490 Å, α = 90.00°, β = 90.00° and γ = 90.00°. The distinct sites, in fractional coordinates, are Y at (0.000, 0.500, 0.000), Co at (0.000, 0.000, 0.500), Cu at (0.500, 0.500, 0.500) and I at (0.000, 0.000, 0.000).

(10)
Here is a relaxed structure of In2CoCu from the Alexandria database. Energies are from PBE-GGA.

The size of the total moment comes out at 2.2 μB/cell. As for the total energy: -3.866 eV per atom. The excess energy over the best structure of this formula in the dataset comes out at 0.171 eV per atom.

It has space group R-3m (No. 166, hexagonal axes), with a = 3.1218 Å, b = 3.1218 Å, c = 24.7421 Å, α = 90.00°, β = 90.00° and γ = 120.00°. The distinct sites, in fractional coordinates, are In at (0.0000, 0.0000, 0.2468), Co at (0.0000, 0.0000, 0.5000) and Cu at (0.0000, 0.0000, 0.0000).

(11)
Here is a relaxed structure of In2CoCu from the Alexandria database. Energies are from PBE-GGA.

The size of the total moment comes out at 3.2 μB/cell. As for the total energy: -3.772 eV per atom. The excess energy over the best structure of this formula in the dataset comes out at 0.265 eV per atom.

It has space group F-43m (No. 216), with a = 6.463 Å, b = 6.463 Å, c = 6.463 Å, α = 90.00°, β = 90.00° and γ = 90.00°. The distinct sites, in fractional coordinates, are In at (0.000, 0.000, 0.000), In at (0.250, 0.250, 0.250), Co at (0.250, 0.250, 0.750) and Cu at (0.000, 0.000, 0.500).

(12)
Here is a relaxed structure of In2CoCu from the Alexandria database. Energies are from PBE-GGA.

The size of the total moment comes out at 0.5 μB/cell. As for the total energy: -3.871 eV per atom. The excess energy over the best structure of this formula in the dataset comes out at 0.166 eV per atom.

It has space group C2/m (No. 12), with a = 8.505 Å, b = 3.097 Å, c = 5.316 Å, α = 90.00°, β = 102.02° and γ = 90.00°. The distinct sites, in fractional coordinates, are In at (0.245, 0.000, 0.242), Co at (0.000, 0.500, 0.000) and Cu at (0.000, 0.000, 0.500).

> The highest size of the total moment belongs to which entry?

TlCoCu2I6